VASP calculation (PBE) on Sr3C after structural relaxation.

Unit cell a=6.187 b=6.187 c=6.187 alpha=115.17 beta=115.17 gamma=115.17
Sites, in units of the cell vectors:
Sr: 0.500 0.000 0.500
Sr: 0.500 0.500 0.000
Sr: 0.000 0.500 0.500
C: 0.000 0.000 0.000

Output
- volume (Å³ per atom) = 32.628
- VASP energy (eV per atom) = -2.17
- crystal system = trigonal
- energy of formation from the pure elements (meV per atom) = 1402
- energy above the lowest structure with this stoichiometry (eV/f.u.) = 4.00